CaTmSnHg | PBE | optimized geometry

Properties
SG   F-43m
Crystal system   cubic
Magnetization   0.00 μB/cell
Fermi-level density of states   3.12 states/eV per cell
Energy of formation from the pure elements   -551 meV per atom

a b c (Å): 5.3096 5.3096 5.3096
angles (deg): 60.00 60.00 60.00
Sites, in units of the cell vectors:
Tm  0.0000  0.0000  0.0000
Sn  0.2500  0.2500  0.2500
Ca  0.5000  0.5000  0.5000
Hg  0.7500  0.7500  0.7500